[1]
Compound: Li2FeB2Pt5
Source: Alexandria
Functional: PBE
Structure: optimized geometry

Results
Formation enthalpy at 0 K (eV per atom): -0.436
Uncorrected energy (eV/cell): -120.426

Unit cell a=9.801 b=9.801 c=2.803 alpha=90.00 beta=90.00 gamma=90.00
Atoms (fractional coordinates):
1 Li 0.181 0.319 0.000
2 Li 0.319 0.819 0.000
3 Li 0.681 0.181 0.000
4 Li 0.819 0.681 0.000
5 Fe 0.000 0.000 0.000
6 Fe 0.500 0.500 0.000
7 B 0.128 0.628 0.000
8 B 0.372 0.128 0.000
9 B 0.628 0.872 0.000
10 B 0.872 0.372 0.000
11 Pt 0.000 0.500 0.500
12 Pt 0.064 0.782 0.500
13 Pt 0.218 0.064 0.500
14 Pt 0.282 0.564 0.500
15 Pt 0.436 0.282 0.500
16 Pt 0.500 0.000 0.500
17 Pt 0.564 0.718 0.500
18 Pt 0.718 0.436 0.500
19 Pt 0.782 0.936 0.500
20 Pt 0.936 0.218 0.500

***

[2]
Compound: LiFeReB2
Source: Alexandria
Functional: PBE
Structure: optimized geometry

Results
Formation enthalpy at 0 K (eV per atom): 1.458
Uncorrected energy (eV/cell): -28.891

Unit cell a=3.716 b=3.716 c=3.465 alpha=90.00 beta=90.00 gamma=90.00
Atoms (fractional coordinates):
1 Li 0.000 0.000 0.000
2 Fe 0.000 0.000 0.500
3 Re 0.500 0.500 0.500
4 B 0.000 0.500 0.000
5 B 0.500 0.000 0.000

***

[3]
Compound: LiFeB2Sb
Source: Alexandria
Functional: PBE
Structure: optimized geometry

Results
E_form (uncorrected) (eV per atom): 1.76
Uncorrected energy (eV/cell): -19.070

Unit cell a=4.559 b=4.559 c=4.875 alpha=90.00 beta=90.00 gamma=90.00
Atoms (fractional coordinates):
1 Li 0.000 0.000 0.000
2 Fe 0.500 0.500 0.000
3 B 0.000 0.500 0.500
4 B 0.500 0.000 0.500
5 Sb 0.500 0.500 0.500